VASP calculation (GGA-PBE) on a relaxed structure of TmAl2CuPt4.

The calculated formation energy is -7.18 eV per formula unit. Its density of states at the Fermi level is 8.0 states/eV/cell.

It has space group R-3m (No. 166, hexagonal axes), with a = 4.3388 Å, b = 4.3388 Å, c = 24.0743 Å, α = 90.00°, β = 90.00° and γ = 120.00°. Symmetry generates all atoms from Tm at (0.0000, 0.0000, 0.0000), Al at (0.0000, 0.0000, 0.2408), Cu at (0.0000, 0.0000, 0.5000), Pt at (0.0000, 0.0000, 0.1283) and Pt at (0.0000, 0.0000, 0.3960).



VASP calculation (GGA-PBE) on a relaxed structure of TmAlCuPt.

The calculated formation energy is -2.99 eV per formula unit. Its density of states at the Fermi level is 8.6 states/eV/cell.

It has space group F-43m (No. 216), with a = 6.502 Å, b = 6.502 Å, c = 6.502 Å, α = 90.00°, β = 90.00° and γ = 90.00°. Symmetry generates all atoms from Tm at (0.000, 0.000, 0.000), Al at (0.000, 0.000, 0.500), Cu at (0.250, 0.250, 0.250) and Pt at (0.250, 0.250, 0.750).



VASP calculation (GGA-PBE) on a relaxed structure of TmAl4Cu2Pt.

The calculated formation energy is -3.87 eV per formula unit. Its density of states at the Fermi level is 8.2 states/eV/cell.

It has space group R-3m (No. 166, hexagonal axes), with a = 4.1934 Å, b = 4.1934 Å, c = 26.4508 Å, α = 90.00°, β = 90.00° and γ = 120.00°. Symmetry generates all atoms from Tm at (0.0000, 0.0000, 0.0000), Al at (0.0000, 0.0000, 0.1280), Al at (0.0000, 0.0000, 0.4026), Cu at (0.0000, 0.0000, 0.2534) and Pt at (0.0000, 0.0000, 0.5000).



VASP calculation (GGA-PBE) on a relaxed structure of UAl2CuPt4.

The calculated formation energy is -6.10 eV per formula unit. Its density of states at the Fermi level is 16.7 states/eV/cell.

It has space group R-3m (No. 166, hexagonal axes), with a = 4.2525 Å, b = 4.2525 Å, c = 25.5598 Å, α = 90.00°, β = 90.00° and γ = 120.00°. Symmetry generates all atoms from U at (0.0000, 0.0000, 0.0000), Al at (0.0000, 0.0000, 0.2363), Cu at (0.0000, 0.0000, 0.5000), Pt at (0.0000, 0.0000, 0.1305) and Pt at (0.0000, 0.0000, 0.3972).



VASP calculation (GGA-PBE) on a relaxed structure of YAl3CuPt.

The calculated formation energy is -3.06 eV per formula unit. Its density of states at the Fermi level is 9.3 states/eV/cell.

It has space group Cmcm (No. 63), with a = 6.262 Å, b = 12.080 Å, c = 5.783 Å, α = 90.00°, β = 90.00° and γ = 90.00°. Symmetry generates all atoms from Y at (0.000, 0.217, 0.250), Al at (0.000, 0.352, 0.750), Al at (0.210, 0.000, 0.000), Cu at (0.000, 0.439, 0.250) and Pt at (0.000, 0.143, 0.750).



VASP calculation (GGA-PBE) on a relaxed structure of YAl4Cu2Pt.

The calculated formation energy is -4.04 eV per formula unit. Its density of states at the Fermi level is 8.3 states/eV/cell.

It has space group R-3m (No. 166, hexagonal axes), with a = 4.2009 Å, b = 4.2009 Å, c = 26.6614 Å, α = 90.00°, β = 90.00° and γ = 120.00°. Symmetry generates all atoms from Y at (0.0000, 0.0000, 0.0000), Al at (0.0000, 0.0000, 0.1288), Al at (0.0000, 0.0000, 0.4034), Cu at (0.0000, 0.0000, 0.2484) and Pt at (0.0000, 0.0000, 0.5000).



VASP calculation (GGA-PBE) on a relaxed structure of Y2Al4CuPt3.

The calculated formation energy is -9.78 eV per formula unit. Its density of states at the Fermi level is 3.8 states/eV/cell.

It has space group P-4m2 (No. 115), with a = 4.143 Å, b = 4.143 Å, c = 10.713 Å, α = 90.00°, β = 90.00° and γ = 90.00°. Symmetry generates all atoms from Y at (0.000, 0.500, 0.250), Al at (0.000, 0.000, 0.000), Al at (0.000, 0.500, 0.628), Al at (0.500, 0.500, 0.000), Cu at (0.000, 0.000, 0.500), Pt at (0.000, 0.500, 0.861) and Pt at (0.500, 0.500, 0.500).



VASP calculation (GGA-PBE) on a relaxed structure of Y2Al2CuPt5.

The calculated formation energy is -8.80 eV per formula unit. Its density of states at the Fermi level is 7.0 states/eV/cell.

It has space group P4/mbm (No. 127), with a = 9.761 Å, b = 9.761 Å, c = 3.659 Å, α = 90.00°, β = 90.00° and γ = 90.00°. Symmetry generates all atoms from Y at (0.177, 0.323, 0.000), Al at (0.123, 0.623, 0.000), Cu at (0.000, 0.000, 0.000), Pt at (0.000, 0.500, 0.500) and Pt at (0.063, 0.797, 0.500).



VASP calculation (GGA-PBE) on a relaxed structure of YAlCuPt3.

The calculated formation energy is -4.11 eV per formula unit. Its density of states at the Fermi level is 8.0 states/eV/cell.

It has space group Cmcm (No. 63), with a = 5.647 Å, b = 13.065 Å, c = 5.735 Å, α = 90.00°, β = 90.00° and γ = 90.00°. Symmetry generates all atoms from Y at (0.000, 0.170, 0.250), Al at (0.000, 0.116, 0.750), Cu at (0.000, 0.374, 0.250), Pt at (0.000, 0.305, 0.750) and Pt at (0.243, 0.500, 0.000).



VASP calculation (GGA-PBE) on a relaxed structure of Y2Al4Cu3Pt.

The calculated formation energy is -5.95 eV per formula unit. Its density of states at the Fermi level is 4.7 states/eV/cell.

It has space group P-4m2 (No. 115), with a = 4.142 Å, b = 4.142 Å, c = 10.300 Å, α = 90.00°, β = 90.00° and γ = 90.00°. Symmetry generates all atoms from Y at (0.000, 0.500, 0.249), Al at (0.000, 0.000, 0.000), Al at (0.000, 0.500, 0.633), Al at (0.500, 0.500, 0.000), Cu at (0.000, 0.500, 0.866), Cu at (0.500, 0.500, 0.500) and Pt at (0.000, 0.000, 0.500).



VASP calculation (GGA-PBE) on a relaxed structure of YAl2CuPt4.

The calculated formation energy is -7.11 eV per formula unit. Its density of states at the Fermi level is 15.9 states/eV/cell.

It has space group R-3m (No. 166, hexagonal axes), with a = 4.2923 Å, b = 4.2923 Å, c = 25.3278 Å, α = 90.00°, β = 90.00° and γ = 120.00°. Symmetry generates all atoms from Y at (0.0000, 0.0000, 0.0000), Al at (0.0000, 0.0000, 0.2382), Cu at (0.0000, 0.0000, 0.5000), Pt at (0.0000, 0.0000, 0.1303) and Pt at (0.0000, 0.0000, 0.4005).